A plane-wave DFT calculation with PBE-GGA was carried out for crystalline Rb2InAsI6 at its relaxed geometry.

abc: 8.632 8.632 8.557
angles: 59.71 59.71 60.00
Fractional positions:
Rb1 0.554 0.554 0.338
Rb2 0.054 0.054 0.838
In1 0.818 0.818 0.548
As1 0.318 0.319 0.045
I1 0.552 0.142 0.281
I2 0.142 0.025 0.281
I3 0.025 0.551 0.282
I4 0.495 0.615 0.801
I5 0.615 0.090 0.800
I6 0.089 0.495 0.801

- Raw formation energy: -7.65 eV per formula unit
- Total energy: -2.627 eV per atom
- Space-group type: No. 146